No. 1
This record from Alexandria via LeMat-Bulk describes a relaxed SmEr4Al4 crystal. The functional is PBE.

It has space group I4/m (No. 87), with a = 9.7483 Å, b = 9.7483 Å, c = 5.0695 Å, α = 90.00°, β = 90.00° and γ = 90.00°. The distinct sites, in fractional coordinates, are Sm at (0.0000, 0.0000, 0.0000), Er at (0.1095, 0.3537, 0.0000) and Al at (0.0782, 0.1780, 0.5000).

The value obtained for the calculated volume is 481.75 Å³ per cell.

No. 2
This record from Alexandria via LeMat-Bulk describes a relaxed Pm2Tl5Cl12 crystal. The functional is PBE.

It has space group C2/m (No. 12), with a = 16.2826 Å, b = 9.9272 Å, c = 7.5422 Å, α = 90.00°, β = 105.31° and γ = 90.00°. The distinct sites, in fractional coordinates, are Pm at (0.0000, 0.2475, 0.0000), Tl at (0.0000, 0.5000, 0.5000), Tl at (0.1470, 0.0000, 0.5062), Tl at (0.2434, 0.5000, 0.9975), Cl at (0.0235, 0.0000, 0.8037), Cl at (0.0773, 0.5000, 0.1866), Cl at (0.0966, 0.3073, 0.7463) and Cl at (0.1636, 0.1941, 0.2117).

The value obtained for the calculated volume is 1175.86 Å³ per cell.

For reference, total magnetization by record: 0.0; 0.4 μB per formula unit.
For reference, final energy by record: -4.379; -3.773 eV/atom.